No. 1
{
  "formula": "Er4AlPt",
  "functional": "PBE",
  "state": "relaxed",
  "spacegroup": "C2/c, No. 15",
  "relative_energy_mev_per_atom": 127,
  "formation_energy_ev_per_atom": -0.53,
  "lattice_angstrom": [[5.762, -0.331, 0.000], [-1.884, 8.205, 0.000], [-1.939, -3.937, 6.693]],
  "species": ["Er", "Al", "Pt", "Er", "Er", "Er", "Al", "Er", "Er", "Er", "Pt", "Er"],
  "frac_coords": [[0.366, 0.939, 0.642], [0.376, 0.626, 0.252], [0.750, 0.000, 0.000], [0.224, 0.297, 0.358], [0.050, 0.219, 0.855], [0.950, 0.781, 0.145], [0.624, 0.374, 0.748], [0.634, 0.061, 0.358], [0.776, 0.703, 0.642], [0.305, 0.635, 0.855], [0.250, 0.000, 0.000], [0.695, 0.365, 0.145]]
}



No. 2
{
  "formula": "SmAl4Zn2",
  "functional": "PBE",
  "state": "relaxed",
  "spacegroup": "Cmmm, No. 65",
  "formation_energy_ev_per_atom": -0.24,
  "lattice_angstrom": [[-0.775, -3.828, -1.519], [-0.190, -1.519, 3.925], [-7.083, 2.139, -1.776]],
  "species": ["Al", "Zn", "Al", "Zn", "Sm", "Al", "Al"],
  "frac_coords": [[0.000, 0.686, 0.372], [0.500, 0.417, 0.834], [0.500, 0.816, 0.632], [0.500, 0.583, 0.166], [0.000, 0.000, 0.000], [0.000, 0.314, 0.628], [0.500, 0.184, 0.368]]
}



No. 3
{
  "formula": "Tl2ZnBi2",
  "functional": "PBE",
  "state": "relaxed",
  "spacegroup": "P4/mbm, No. 127",
  "relative_energy_mev_per_atom": 149,
  "formation_energy_ev_per_atom": 0.22,
  "lattice_angstrom": [[-6.549, -7.441, -2.144], [5.783, -6.567, 5.127], [-1.732, 0.702, 2.852]],
  "species": ["Bi", "Zn", "Tl", "Zn", "Bi", "Tl", "Bi", "Tl", "Tl", "Bi"],
  "frac_coords": [[0.391, 0.109, 0.500], [0.500, 0.500, 0.000], [0.820, 0.680, 0.000], [0.000, 0.000, 0.000], [0.109, 0.609, 0.500], [0.180, 0.320, 0.000], [0.891, 0.391, 0.500], [0.680, 0.180, 0.000], [0.320, 0.820, 0.000], [0.609, 0.891, 0.500]]
}



No. 4
{
  "formula": "Mg3SeCl",
  "functional": "PBE",
  "state": "relaxed",
  "spacegroup": "Pm-3m, No. 221",
  "relative_energy_mev_per_atom": 0,
  "e_form_raw_mev_per_atom": -177.6,
  "lattice_angstrom": [[-5.204, 0.735, 0.947], [-0.037, -4.314, 3.146], [1.198, 3.060, 4.209]],
  "species": ["Se", "Mg", "Mg", "Mg", "Cl"],
  "frac_coords": [[0.000, 0.000, 0.000], [0.500, 0.000, 0.000], [0.000, 0.000, 0.500], [0.000, 0.500, 0.000], [0.500, 0.500, 0.500]]
}



| no. | calculated volume (A^3/atom) | magnetization (μB per cell) |
| --- | --- | --- |
| 1 | 26.02 | 0.00 |
| 2 | 18.44 | 0.00 |
| 3 | 35.07 | 0.00 |
| 4 | 30.45 | 0.00 |